(1)
Density functional theory data (GGA-PBE) for crystalline Ac6Bi2TeP3 at its relaxed geometry.

Calculated values
Magnetization: 0.000 μB/atom
Fermi-level density of states: 2.8 states/eV per cell
Space-group type: No. 12
VASP energy: -67.8 eV/cell
V: 35.2 Å³/atom
E_form (uncorrected): -1.3323 eV per atom

a = 4.6019 Å, b = 9.3368 Å, c = 10.4026 Å
α = 104.13°, β = 102.78°, γ = 90.00°
Atoms (fractional coordinates):
Te  0.5000  0.0000  0.0000
Ac  0.9939  0.2669  0.9878
P  0.5000  0.5000  0.0000
Ac  0.0061  0.7331  0.0122
Bi  0.1654  0.3307  0.3308
P  0.1658  0.8340  0.3316
Ac  0.6730  0.0692  0.3460
Ac  0.6615  0.5965  0.3231
Bi  0.8346  0.6693  0.6692
Ac  0.3270  0.9308  0.6540
Ac  0.3385  0.4035  0.6769
P  0.8342  0.1660  0.6684

=====

(2)
Density functional theory data (GGA-PBE) for crystalline AcPaBi2 at its relaxed geometry.

Calculated values
Magnetization: 0.476 μB/atom
Fermi-level density of states: 4.8 states/eV per cell
Space-group type: No. 225
VASP energy: -22.7 eV/cell
Formation energy from the elements: -0.336 eV/atom
E above lowest polymorph: 7.0 kJ per mole of atoms
V: 32.1 Å³/atom

a = 5.6651 Å, b = 5.6651 Å, c = 5.6651 Å
α = 60.00°, β = 60.00°, γ = 60.00°
Atoms (fractional coordinates):
Bi  0.2500  0.2500  0.2500
Ac  0.0000  0.0000  0.0000
Bi  0.7500  0.7500  0.7500
Pa  0.5000  0.5000  0.5000

=====

(3)
Density functional theory data (GGA-PBE) for crystalline AcPaBi at its relaxed geometry.

Calculated values
Magnetization: 0.184 μB/atom
Fermi-level density of states: 11.4 states/eV per cell
Space-group type: No. 129
VASP energy: -36.8 eV/cell
Formation energy from the elements: -0.306 eV/atom
E above lowest polymorph: 0.0 kJ per mole of atoms
V: 33.6 Å³/atom

a = 4.5760 Å, b = 4.5760 Å, c = 9.6222 Å
α = 90.00°, β = 90.00°, γ = 90.00°
Atoms (fractional coordinates):
Pa  0.0000  0.0000  0.0000
Pa  0.5000  0.5000  0.0000
Bi  0.5000  0.0000  0.7463
Bi  0.0000  0.5000  0.2537
Ac  0.5000  0.0000  0.3594
Ac  0.0000  0.5000  0.6406

=====

(4)
Density functional theory data (GGA-PBE) for crystalline AcPaBi3 at its relaxed geometry.

Calculated values
Magnetization: 0.000 μB/atom
Fermi-level density of states: 3.4 states/eV per cell
Space-group type: No. 221
VASP energy: -25.5 eV/cell
Formation energy from the elements: -0.050 eV/atom
V: 42.1 Å³/atom

a = 5.9469 Å, b = 5.9469 Å, c = 5.9469 Å
α = 90.00°, β = 90.00°, γ = 90.00°
Atoms (fractional coordinates):
Pa  0.0000  0.0000  0.0000
Bi  0.0000  0.0000  0.5000
Bi  0.5000  0.0000  0.0000
Bi  0.0000  0.5000  0.0000
Ac  0.5000  0.5000  0.5000

=====

(5)
Density functional theory data (GGA-PBE) for crystalline AcPaBi at its relaxed geometry.

Calculated values
Magnetization: 0.528 μB/atom
Fermi-level density of states: 6.1 states/eV per cell
Space-group type: No. 156
VASP energy: -16.4 eV/cell
Formation energy from the elements: 0.354 eV/atom
E above lowest polymorph: 63.7 kJ per mole of atoms
V: 31.5 Å³/atom

a = 3.3910 Å, b = 5.6710 Å, c = 5.6710 Å
α = 120.00°, β = 90.00°, γ = 90.00°
Atoms (fractional coordinates):
Pa  0.2145  0.3333  0.6667
Ac  0.1520  0.0000  0.0000
Bi  0.6335  0.6667  0.3333

=====

(6)
Density functional theory data (GGA-PBE) for crystalline AcPaBi2 at its relaxed geometry.

Calculated values
Magnetization: 0.385 μB/atom
Fermi-level density of states: 5.5 states/eV per cell
Space-group type: No. 123
VASP energy: -23.0 eV/cell
Formation energy from the elements: -0.408 eV/atom
E above lowest polymorph: 0.0 kJ per mole of atoms
V: 32.0 Å³/atom

a = 3.9718 Å, b = 3.9718 Å, c = 8.1103 Å
α = 90.00°, β = 90.00°, γ = 90.00°
Atoms (fractional coordinates):
Ac  0.5000  0.5000  0.5000
Pa  0.5000  0.5000  0.0000
Bi  0.0000  0.0000  0.7742
Bi  0.0000  0.0000  0.2258